# 1
A plane-wave DFT calculation with GGA-PBE was carried out for crystalline MnAsRh at its relaxed geometry.

Geometry as POSCAR:
```
MnAsRh
1.0
1.884 3.417 -5.036
-6.150 -0.101 1.661
0.541 2.915 2.181
Mn Rh As
3 3 3
direct
0.000 0.741 0.000 Mn
0.741 0.000 0.000 Mn
0.259 0.259 0.000 Mn
0.000 0.387 0.500 Rh
0.387 0.000 0.500 Rh
0.613 0.613 0.500 Rh
0.667 0.333 0.000 As
0.333 0.667 0.000 As
0.000 0.000 0.500 As
```

Summary:
The density of states at the Fermi level comes out at 0.453 states/eV per atom. Its space-group type is No. 189. The formation energy is -0.75 eV/f.u. As for the total magnetization: 8.67 μB per cell. The value obtained for the raw total energy is -65.76 eV per cell.

# 2
A plane-wave DFT calculation with GGA-PBE was carried out for crystalline Er3ScAg2 at its relaxed geometry.

Geometry as POSCAR:
```
Er3ScAg2
1.0
-1.777 3.053 -0.502
-2.833 -1.373 1.679
4.086 4.058 10.215
Ag Er Sc
2 3 1
direct
0.500 0.500 0.843 Ag
0.500 0.500 0.157 Ag
0.000 0.000 0.000 Er
0.000 0.000 0.312 Er
0.000 0.000 0.688 Er
0.500 0.500 0.500 Sc
```

Summary:
The density of states at the Fermi level comes out at 0.746 states/eV per atom. Its space-group type is No. 123. The formation energy is -1.20 eV/f.u. As for the total magnetization: 0.00 μB per cell. The value obtained for the raw total energy is -26.92 eV per cell.

# 3
A plane-wave DFT calculation with GGA-PBE was carried out for crystalline SbH2S2 at its relaxed geometry.

Geometry as POSCAR:
```
SbH2S2
1.0
-0.668 -0.674 3.959
3.114 -3.410 -2.149
4.247 3.248 1.270
Sb S H
1 2 2
direct
0.000 0.000 0.000 Sb
0.667 0.333 0.207 S
0.333 0.667 0.793 S
0.634 0.267 0.446 H
0.366 0.733 0.554 H
```

Summary:
The density of states at the Fermi level comes out at 0.331 states/eV per atom. Its space-group type is No. 12. As for the total magnetization: 0.00 μB per cell. The value obtained for the raw total energy is -18.97 eV per cell.

# 4
A plane-wave DFT calculation with GGA-PBE was carried out for crystalline LiZnHg2 at its relaxed geometry.

Geometry as POSCAR:
```
LiZnHg2
1.0
-0.610 0.705 -5.241
-3.331 -3.584 -2.097
-0.249 3.392 4.095
Hg Zn Li
2 1 1
direct
0.751 0.251 0.500 Hg
0.004 0.004 0.000 Hg
0.247 0.747 0.500 Zn
0.499 0.499 0.000 Li
```

Summary:
The density of states at the Fermi level comes out at 0.370 states/eV per atom. Its space-group type is No. 44. The formation energy is -0.47 eV/f.u. As for the total magnetization: 0.00 μB per cell. The value obtained for the raw total energy is -4.26 eV per cell.

# 5
A plane-wave DFT calculation with GGA-PBE was carried out for crystalline Sc2Be at its relaxed geometry.

Geometry as POSCAR:
```
Sc2Be
1.0
6.313 0.000 0.000
0.000 6.313 0.000
0.000 0.000 6.313
Be Sc
4 8
direct
0.500 0.000 0.500 Be
0.000 0.500 0.500 Be
0.000 0.000 0.000 Be
0.500 0.500 0.000 Be
0.839 0.161 0.339 Sc
0.161 0.839 0.661 Sc
0.661 0.839 0.839 Sc
0.839 0.339 0.839 Sc
0.339 0.339 0.661 Sc
0.661 0.661 0.339 Sc
0.161 0.661 0.161 Sc
0.339 0.161 0.161 Sc
```

Summary:
The density of states at the Fermi level comes out at 1.412 states/eV per atom. Its space-group type is No. 205. The formation energy is 0.71 eV/f.u. As for the total magnetization: 0.00 μB per cell. The value obtained for the raw total energy is -62.73 eV per cell.

# 6
A plane-wave DFT calculation with GGA-PBE was carried out for crystalline SiRu2Rh at its relaxed geometry.

Geometry as POSCAR:
```
SiRu2Rh
1.0
8.422 0.001 0.001
7.969 2.726 0.001
7.969 1.326 2.382
Rh Ru Si
1 2 1
direct
0.750 0.750 0.750 Rh
0.506 0.506 0.506 Ru
0.994 0.994 0.994 Ru
0.250 0.250 0.250 Si
```

Summary:
The density of states at the Fermi level comes out at 0.837 states/eV per atom. Its space-group type is No. 166. As for the energy relative to the elements, uncorrected: -0.129 eV per atom. As for the total magnetization: 0.00 μB per cell. The value obtained for the raw total energy is -31.84 eV per cell.

# 7
A plane-wave DFT calculation with GGA-PBE was carried out for crystalline VPd3Rh2 at its relaxed geometry.

Geometry as POSCAR:
```
VPd3Rh2
1.0
4.759 0.000 0.000
0.000 2.772 0.000
0.000 0.000 13.347
Rh V Pd
4 2 6
direct
0.900 0.750 0.597 Rh
0.900 0.750 0.903 Rh
0.100 0.250 0.403 Rh
0.100 0.250 0.097 Rh
0.242 0.750 0.250 V
0.758 0.250 0.750 V
0.408 0.250 0.582 Pd
0.408 0.250 0.918 Pd
0.592 0.750 0.418 Pd
0.274 0.750 0.750 Pd
0.592 0.750 0.082 Pd
0.726 0.250 0.250 Pd
```

Summary:
The density of states at the Fermi level comes out at 1.226 states/eV per atom. Its space-group type is No. 59. The formation energy is -0.75 eV/f.u. As for the total magnetization: 0.00 μB per cell. The value obtained for the raw total energy is -80.31 eV per cell.

# 8
A plane-wave DFT calculation with GGA-PBE was carried out for crystalline AcScCd at its relaxed geometry.

Geometry as POSCAR:
```
AcScCd
1.0
3.774 0.000 0.000
0.000 3.774 0.000
-1.887 -1.887 6.348
Cd Ac Sc
1 1 1
direct
0.692 0.692 0.384 Cd
0.001 0.001 0.002 Ac
0.307 0.307 0.613 Sc
```

Summary:
The density of states at the Fermi level comes out at 1.523 states/eV per atom. Its space-group type is No. 107. The formation energy is -0.33 eV/f.u. As for the total magnetization: 0.13 μB per cell. The value obtained for the raw total energy is -11.68 eV per cell.

# 9
A plane-wave DFT calculation with GGA-PBE was carried out for crystalline La2Sn3GeRh4 at its relaxed geometry.

Geometry as POSCAR:
```
La2Sn3GeRh4
1.0
-2.016 0.964 -3.903
-2.446 -3.759 0.335
-7.534 5.367 5.216
Rh Sn La Ge
4 3 2 1
direct
0.500 0.000 0.622 Rh
0.000 0.500 0.378 Rh
0.000 0.000 0.000 Rh
0.500 0.500 0.000 Rh
0.000 0.500 0.132 Sn
0.000 0.000 0.500 Sn
0.500 0.000 0.868 Sn
0.500 0.000 0.258 La
0.000 0.500 0.742 La
0.500 0.500 0.500 Ge
```

Summary:
The density of states at the Fermi level comes out at 0.553 states/eV per atom. Its space-group type is No. 115. The formation energy is -7.67 eV/f.u. As for the total magnetization: 0.00 μB per cell. The value obtained for the raw total energy is -63.56 eV per cell.

# 10
A plane-wave DFT calculation with GGA-PBE was carried out for crystalline Cs6Cl2OF at its relaxed geometry.

Geometry as POSCAR:
```
Cs6Cl2OF
1.0
-1.437 1.776 7.394
5.913 -5.317 2.426
1.926 7.941 -1.533
Cs Cl F O
6 2 1 1
direct
0.772 0.157 0.843 Cs
0.772 0.157 0.313 Cs
0.772 0.687 0.843 Cs
0.228 0.843 0.157 Cs
0.228 0.313 0.157 Cs
0.228 0.843 0.687 Cs
0.082 0.333 0.667 Cl
0.918 0.667 0.333 Cl
0.500 0.000 0.000 F
0.000 0.000 0.000 O
```

Summary:
The density of states at the Fermi level comes out at 0.277 states/eV per atom. Its space-group type is No. 164. As for the energy relative to the elements, uncorrected: -1.537 eV per atom. As for the total magnetization: 0.25 μB per cell. The value obtained for the raw total energy is -31.02 eV per cell.